Here is a crystal of Sb2CS relaxed with PBEsol from Alexandria. Energies are from meta-GGA SCAN.

The structure in CIF format:
```
data_Sb2CS
_space_group_name_H-M_alt 'I -4 2 d'
_space_group_IT_number 122
_space_group_name_Hall 'I -4 2bw'
_cell_length_a 6.587
_cell_length_b 6.587
_cell_length_c 7.271
_cell_angle_alpha 90.00
_cell_angle_beta 90.00
_cell_angle_gamma 90.00
loop_
_atom_site_label
_atom_site_type_symbol
_atom_site_fract_x
_atom_site_fract_y
_atom_site_fract_z
Sb1 Sb 0.189 0.250 0.125
C1 C 0.000 0.000 0.000
S1 S 0.000 0.000 0.500
```

# SbCS3 (meta-GGA SCAN, PBEsol geometry)
data_SbCS3
_space_group_name_H-M_alt 'P m -3 m'
_space_group_IT_number 221
_space_group_name_Hall '-P 4 2 3'
_cell_length_a 4.931
_cell_length_b 4.931
_cell_length_c 4.931
_cell_angle_alpha 90.00
_cell_angle_beta 90.00
_cell_angle_gamma 90.00
loop_
_atom_site_label
_atom_site_type_symbol
_atom_site_fract_x
_atom_site_fract_y
_atom_site_fract_z
Sb1 Sb 0.000 0.000 0.000
C1 C 0.500 0.500 0.500
S1 S 0.000 0.000 0.500
# E above lowest polymorph: 0.899 eV per atom

| no. | total magnetization (μB/f.u.) | N(E_F) (states/eV/atom) | E_form (uncorrected) (meV per atom) |
| --- | --- | --- | --- |
| 1 | 0.00 | 0.323 | 882.6 |
| 2 | 0.30 | 0.981 | 1991.6 |